[1]
The following is a DFT calculation (PBE) of Zr2Zn3Ga after structural relaxation.

Energy relative to the lowest polymorph listed for this composition (eV per formula unit): 0.064
Total magnetic moment (μB per atom): 0.000
Energy relative to the elements (eV/atom): -0.3862
Total DFT energy (no corrections) (eV/atom): -4.38

Cell lengths 3.246, 4.317, 7.474 Å; angles 90.00, 90.00, 90.00 degrees
Positions (direct):
Zn 0.500 0.000 0.831
Zn 0.500 0.000 0.163
Zn 0.500 0.500 0.670
Ga 0.500 0.500 0.335
Zr 0.000 0.000 0.499
Zr 0.000 0.500 0.001

***

[2]
The following is a DFT calculation (PBE) of Zr4Zn5Ga2 after structural relaxation.

Total magnetic moment (μB per atom): 0.000
Energy relative to the elements (eV/atom): -0.2907
Total DFT energy (no corrections) (eV/atom): -4.53

Cell lengths 3.145, 7.004, 9.098 Å; angles 93.75, 90.00, 90.00 degrees
Positions (direct):
Zn 0.000 0.567 0.290
Zn 0.000 0.433 0.710
Zn 0.000 0.796 0.835
Zn 0.000 0.204 0.165
Zn 0.000 0.500 0.000
Zr 0.500 0.844 0.113
Zr 0.500 0.717 0.556
Zr 0.500 0.156 0.887
Zr 0.500 0.283 0.444
Ga 0.000 0.942 0.363
Ga 0.000 0.058 0.637

***

[3]
The following is a DFT calculation (PBE) of Zr3ZnGa after structural relaxation.

Energy relative to the lowest polymorph listed for this composition (eV per formula unit): 2.555
Total magnetic moment (μB per atom): 0.000
Energy relative to the elements (eV/atom): 0.4516
Total DFT energy (no corrections) (eV/atom): -5.54

Cell lengths 4.945, 4.945, 4.945 Å; angles 90.00, 90.00, 90.00 degrees
Positions (direct):
Zr 0.000 0.500 0.000
Zr 0.500 0.000 0.000
Zr 0.000 0.000 0.500
Zn 0.000 0.000 0.000
Ga 0.500 0.500 0.500